No. 1
An optimized crystal structure of CaPr4Sm2. Source: the Alexandria database, functional PBE.

It has space group R-3m (No. 166, hexagonal axes), with a = 3.7002 Å, b = 3.7002 Å, c = 64.0258 Å, α = 90.00°, β = 90.00° and γ = 120.00°. The distinct sites, in fractional coordinates, are Ca at (0.0000, 0.0000, 0.0000), Pr at (0.0000, 0.0000, 0.1430), Pr at (0.0000, 0.0000, 0.2830) and Sm at (0.0000, 0.0000, 0.4293).

For the density, the calculation gives 5.9 g cm⁻³. The total energy is -91.28 eV per cell. The calculation puts the volume at 36.2 Å³/atom. As for the density of states at the Fermi level: 9.8 states/eV/f.u.

No. 2
An optimized crystal structure of CaPr5Sm2. Source: the Alexandria database, functional PBE.

It has space group Imma (No. 74), with a = 6.175 Å, b = 11.775 Å, c = 16.283 Å, α = 90.00°, β = 90.00° and γ = 90.00°. The distinct sites, in fractional coordinates, are Ca at (0.000, 0.250, 0.096), Pr at (0.000, 0.063, 0.894), Pr at (0.000, 0.082, 0.304), Pr at (0.000, 0.250, 0.548), Sm at (0.000, 0.000, 0.500) and Sm at (0.250, 0.250, 0.750).

For the density, the calculation gives 5.9 g cm⁻³. The total energy is -133.90 eV per cell. The calculation puts the volume at 37.0 Å³/atom. As for the density of states at the Fermi level: 15.8 states/eV/f.u.

No. 3
An optimized crystal structure of CaPrSm2. Source: the Alexandria database, functional PBE.

It has space group P4/mmm (No. 123), with a = 3.703 Å, b = 3.703 Å, c = 10.539 Å, α = 90.00°, β = 90.00° and γ = 90.00°. The distinct sites, in fractional coordinates, are Ca at (0.000, 0.000, 0.000), Pr at (0.000, 0.000, 0.500) and Sm at (0.500, 0.500, 0.264).

For the density, the calculation gives 5.5 g cm⁻³. The total energy is -16.00 eV per cell. The value obtained for the energy relative to the lowest polymorph listed for this composition is 8 meV per atom. The calculation puts the volume at 36.1 Å³/atom. As for the density of states at the Fermi level: 6.1 states/eV/f.u.

No. 4
An optimized crystal structure of CaPr5Sm8. Source: the Alexandria database, functional PBE.

It has space group I-4 (No. 82), with a = 9.863 Å, b = 9.863 Å, c = 10.376 Å, α = 90.00°, β = 90.00° and γ = 90.00°. The distinct sites, in fractional coordinates, are Ca at (0.000, 0.000, 0.000), Pr at (0.000, 0.500, 0.250), Pr at (0.108, 0.711, 0.675), Sm at (0.073, 0.825, 0.351) and Sm at (0.086, 0.674, 0.005).

For the density, the calculation gives 6.4 g cm⁻³. The total energy is -121.15 eV per cell. The calculation puts the volume at 36.1 Å³/atom. As for the density of states at the Fermi level: 19.1 states/eV/f.u.

No. 5
An optimized crystal structure of CaPrSm2. Source: the Alexandria database, functional PBE.

It has space group C2/m (No. 12), with a = 24.486 Å, b = 3.573 Å, c = 6.621 Å, α = 90.00°, β = 94.41° and γ = 90.00°. The distinct sites, in fractional coordinates, are Ca at (0.001, 0.000, 0.249), Pr at (0.248, 0.000, 0.248), Sm at (0.124, 0.500, 0.032) and Sm at (0.134, 0.000, 0.544).

For the density, the calculation gives 5.5 g cm⁻³. The total energy is -63.23 eV per cell. The value obtained for the energy relative to the lowest polymorph listed for this composition is 56 meV per atom. The calculation puts the volume at 36.1 Å³/atom. As for the density of states at the Fermi level: 5.8 states/eV/f.u.

No. 6
An optimized crystal structure of Ca2Pr5Sm4. Source: the Alexandria database, functional PBE.

It has space group P-1 (No. 2), with a = 5.866 Å, b = 9.056 Å, c = 9.285 Å, α = 119.00°, β = 90.00° and γ = 108.88°. The distinct sites, in fractional coordinates, are Ca at (0.092, 0.184, 0.453), Pr at (0.000, 0.000, 0.000), Pr at (0.258, 0.517, 0.318), Pr at (0.436, 0.873, 0.232), Sm at (0.202, 0.405, 0.899) and Sm at (0.372, 0.744, 0.783).

For the density, the calculation gives 5.7 g cm⁻³. The total energy is -45.73 eV per cell. The calculation puts the volume at 36.4 Å³/atom. As for the density of states at the Fermi level: 16.0 states/eV/f.u.

No. 7
An optimized crystal structure of CaPr12Sm6. Source: the Alexandria database, functional PBE.

It has space group R-3m (No. 166, hexagonal axes), with a = 13.6953 Å, b = 13.6953 Å, c = 12.9943 Å, α = 90.00°, β = 90.00° and γ = 120.00°. The distinct sites, in fractional coordinates, are Ca at (0.0000, 0.0000, 0.0000), Pr at (0.0000, 0.2615, 0.5000), Pr at (0.0904, 0.1807, 0.2663) and Sm at (0.0408, 0.5204, 0.6165).

For the density, the calculation gives 6.2 g cm⁻³. The total energy is -252.96 eV per cell. The calculation puts the volume at 37.0 Å³/atom. As for the density of states at the Fermi level: 32.4 states/eV/f.u.

No. 8
An optimized crystal structure of CaPr3Sm2. Source: the Alexandria database, functional PBE.

It has space group C2/c (No. 15), with a = 10.485 Å, b = 7.385 Å, c = 12.267 Å, α = 90.00°, β = 115.24° and γ = 90.00°. The distinct sites, in fractional coordinates, are Ca at (0.000, 0.126, 0.250), Pr at (0.000, 0.374, 0.750), Pr at (0.168, 0.125, 0.586) and Sm at (0.163, 0.375, 0.076).

For the density, the calculation gives 5.9 g cm⁻³. The total energy is -101.96 eV per cell. The calculation puts the volume at 35.8 Å³/atom. As for the density of states at the Fermi level: 8.7 states/eV/f.u.

Formation energy from the elements (computed, eV/atom): 0.02, 0.23, 0.06, 0.22, 0.10, 0.10, 0.18, 0.05